## CoAs3 (PBE-GGA)

Data for CoAs3 after structural relaxation.

abc: 7.1948 7.1948 3.5803
angles: 90.00 90.00 112.34
Closest atoms and distances in Å follow each position.
Atoms (fractional coordinates):
Co  0.5748  0.4252  0.7500  8 As 2.47-2.67, 2 Co 2.53
Co  0.4252  0.5748  0.2500  8 As 2.47-2.67, 2 Co 2.53
As  0.2591  0.7409  0.7500  2 As 2.44, 2 Co 2.67
As  0.7409  0.2591  0.2500  2 As 2.44, 2 Co 2.67
As  0.6173  0.8026  0.7500  1 As 2.44, 3 Co 2.47-2.61
As  0.3827  0.1974  0.2500  1 As 2.44, 3 Co 2.47-2.61
As  0.8026  0.6173  0.2500  1 As 2.44, 3 Co 2.47-2.61
As  0.1974  0.3827  0.7500  1 As 2.44, 3 Co 2.47-2.61

## Properties
Calculated density ... 5.50 g/cm³
E_form ... 43 meV per atom
SG ... Cmcm, No. 63
Calculated volume ... 21.4 Å³ per atom
Total magnetic moment ... 0.603 μB per formula unit